P:
DFT (meta-GGA SCAN) results for a PBEsol-optimized structure of LiCoPO4.

Geometry as CIF:
```
data_LiCoPO4
_chemical_formula_sum 'Li4 Co4 P4 O16'
_symmetry_space_group_name_H-M 'P b c n'
_symmetry_Int_Tables_number 60
_symmetry_space_group_name_Hall '-P 2n 2ab'
_cell_length_a 4.3080
_cell_length_b 14.4339
_cell_length_c 4.6264
_cell_angle_alpha 90.00
_cell_angle_beta 90.00
_cell_angle_gamma 90.00
loop_
_atom_site_label
_atom_site_type_symbol
_atom_site_fract_x
_atom_site_fract_y
_atom_site_fract_z
_atom_site_occupancy
Li1 Li 0.0000 0.2485 0.2500 1
Co1 Co 0.0000 0.0504 0.7500 1
P1 P 0.0000 0.3846 0.7500 1
O1 O 0.1906 0.3274 0.5325 1
O2 O 0.2329 0.4469 0.9187 1
```

total magnetization = 3.00 μB per formula unit

=====

Q:
DFT (meta-GGA SCAN) results for a PBEsol-optimized structure of LiCoPO4.

Geometry as CIF:
```
data_LiCoPO4
_chemical_formula_sum 'Li4 Co4 P4 O16'
_symmetry_space_group_name_H-M 'P 21 21 21'
_symmetry_Int_Tables_number 19
_symmetry_space_group_name_Hall 'P 2ac 2ab'
_cell_length_a 4.8884
_cell_length_b 7.0981
_cell_length_c 9.4519
_cell_angle_alpha 90.00
_cell_angle_beta 90.00
_cell_angle_gamma 90.00
loop_
_atom_site_label
_atom_site_type_symbol
_atom_site_fract_x
_atom_site_fract_y
_atom_site_fract_z
_atom_site_occupancy
Li1 Li 0.1456 0.2332 0.1062 1
Co1 Co 0.0424 0.5863 0.9787 1
P1 P 0.1141 0.9965 0.8464 1
O1 O 0.1483 0.9856 0.6844 1
O2 O 0.1892 0.5144 0.6124 1
O3 O 0.2164 0.8452 0.4145 1
O4 O 0.2408 0.8073 0.9064 1
```

total magnetization = 3.00 μB per formula unit

=====

R:
DFT (meta-GGA SCAN) results for a PBEsol-optimized structure of LiCoPO4.

Geometry as CIF:
```
data_LiCoPO4
_chemical_formula_sum 'Li3 Co3 P3 O12'
_symmetry_space_group_name_H-M 'P 62 2 2'
_symmetry_Int_Tables_number 180
_symmetry_space_group_name_Hall 'P 62 2 (0 0 4)'
_cell_length_a 5.2106
_cell_length_b 5.2106
_cell_length_c 12.4250
_cell_angle_alpha 90.00
_cell_angle_beta 90.00
_cell_angle_gamma 120.00
loop_
_atom_site_label
_atom_site_type_symbol
_atom_site_fract_x
_atom_site_fract_y
_atom_site_fract_z
_atom_site_occupancy
Li1 Li 0.0000 0.0000 0.0000 1
Co1 Co 0.0000 0.5000 0.1667 1
P1 P 0.0000 0.5000 0.6667 1
O1 O 0.1815 0.4002 0.7356 1
```

total magnetization = 3.00 μB per formula unit

=====

Question: which arrangement is favored energetically? Ranking from most to least stable: Q, P, R.